1.
This record from the Alexandria database describes crystalline SmDyNi at its relaxed geometry. The functional is PBE.

abc: 4.532 4.532 4.157
angles: 90.00 90.00 120.00
Element x y z (fractional)
1 Sm 0.000 0.000 0.000
2 Dy 0.333 0.667 0.484
3 Ni 0.667 0.333 0.700

Calculated values
* VASP energy: -15.29 eV per formula unit

2.
This record from the Alexandria database describes crystalline SmDyNi2 at its relaxed geometry. The functional is PBE.

abc: 4.315 5.460 5.460
angles: 39.62 90.00 90.00
Element x y z (fractional)
1 Sm 0.000 0.000 0.000
2 Dy 0.500 0.277 0.277
3 Ni 0.000 0.714 0.714
4 Ni 0.500 0.568 0.568

Calculated values
* VASP energy: -22.51 eV per formula unit

3.
This record from the Alexandria database describes crystalline SmDy3Ni at its relaxed geometry. The functional is PBE.

abc: 6.816 6.816 11.704
angles: 93.98 93.98 30.86
Element x y z (fractional)
1 Sm 0.166 0.166 0.404
2 Sm 0.834 0.834 0.596
3 Dy 0.039 0.039 0.138
4 Dy 0.227 0.227 0.864
5 Dy 0.429 0.429 0.359
6 Dy 0.571 0.571 0.641
7 Dy 0.773 0.773 0.136
8 Dy 0.961 0.961 0.862
9 Ni 0.401 0.401 0.035
10 Ni 0.599 0.599 0.965

Calculated values
* VASP energy: -25.09 eV per formula unit

4.
This record from the Alexandria database describes crystalline SmDyZnNi at its relaxed geometry. The functional is PBE.

abc: 4.436 5.615 5.615
angles: 39.93 90.00 90.00
Element x y z (fractional)
1 Sm 0.000 0.000 0.000
2 Dy 0.500 0.718 0.718
3 Zn 0.500 0.427 0.427
4 Ni 0.000 0.293 0.293

Calculated values
* VASP energy: -17.69 eV per formula unit

5.
This record from the Alexandria database describes crystalline Dy3Ni3Sn4 at its relaxed geometry. The functional is PBE.

abc: 8.243 8.243 8.243
angles: 109.47 109.47 109.47
Element x y z (fractional)
1 Dy 0.125 0.875 0.250
2 Dy 0.250 0.125 0.875
3 Dy 0.375 0.625 0.750
4 Dy 0.625 0.750 0.375
5 Dy 0.750 0.375 0.625
6 Dy 0.875 0.250 0.125
7 Ni 0.125 0.750 0.875
8 Ni 0.250 0.625 0.375
9 Ni 0.375 0.250 0.625
10 Ni 0.625 0.375 0.250
11 Ni 0.750 0.875 0.125
12 Ni 0.875 0.125 0.750
13 Sn 0.000 0.149 0.500
14 Sn 0.000 0.649 0.500
15 Sn 0.149 0.500 0.000
16 Sn 0.351 0.351 0.351
17 Sn 0.500 0.000 0.149
18 Sn 0.500 0.000 0.649
19 Sn 0.649 0.500 0.000
20 Sn 0.851 0.851 0.851

Calculated values
* VASP energy: -52.87 eV per formula unit

6.
This record from the Alexandria database describes crystalline DyNiSn2 at its relaxed geometry. The functional is PBE.

abc: 16.126 4.457 14.665
angles: 90.00 90.00 90.00
Element x y z (fractional)
1 Dy 0.126 0.250 0.228
2 Dy 0.146 0.750 0.605
3 Dy 0.151 0.250 0.971
4 Dy 0.349 0.750 0.471
5 Dy 0.354 0.250 0.105
6 Dy 0.374 0.750 0.728
7 Dy 0.626 0.250 0.272
8 Dy 0.646 0.750 0.895
9 Dy 0.651 0.250 0.529
10 Dy 0.849 0.750 0.029
11 Dy 0.854 0.250 0.395
12 Dy 0.874 0.750 0.772
13 Ni 0.052 0.750 0.105
14 Ni 0.197 0.250 0.747
15 Ni 0.201 0.250 0.455
16 Ni 0.299 0.750 0.955
17 Ni 0.303 0.750 0.247
18 Ni 0.448 0.250 0.605
19 Ni 0.552 0.750 0.395
20 Ni 0.697 0.250 0.753
21 Ni 0.701 0.250 0.045
22 Ni 0.799 0.750 0.545
23 Ni 0.803 0.750 0.253
24 Ni 0.948 0.250 0.895
25 Sn 0.021 0.750 0.921
26 Sn 0.034 0.250 0.740
27 Sn 0.044 0.250 0.450
28 Sn 0.173 0.750 0.371
29 Sn 0.185 0.750 0.824
30 Sn 0.214 0.750 0.105
31 Sn 0.286 0.250 0.605
32 Sn 0.315 0.250 0.324
33 Sn 0.327 0.250 0.871
34 Sn 0.456 0.750 0.950
35 Sn 0.466 0.750 0.240
36 Sn 0.479 0.250 0.421
37 Sn 0.521 0.750 0.579
38 Sn 0.534 0.250 0.760
39 Sn 0.544 0.250 0.050
40 Sn 0.673 0.750 0.129
41 Sn 0.685 0.750 0.676
42 Sn 0.714 0.750 0.395
43 Sn 0.786 0.250 0.895
44 Sn 0.815 0.250 0.176
45 Sn 0.827 0.250 0.629
46 Sn 0.956 0.750 0.550
47 Sn 0.966 0.750 0.260
48 Sn 0.979 0.250 0.079

Calculated values
* VASP energy: -20.68 eV per formula unit

7.
This record from the Alexandria database describes crystalline Dy2Ni15Sn2 at its relaxed geometry. The functional is PBE.

abc: 6.417 6.417 6.417
angles: 82.62 82.62 82.62
Element x y z (fractional)
1 Dy 0.143 0.143 0.143
2 Dy 0.857 0.857 0.857
3 Ni 0.000 0.500 0.500
4 Ni 0.152 0.152 0.661
5 Ni 0.152 0.661 0.152
6 Ni 0.194 0.500 0.806
7 Ni 0.194 0.806 0.500
8 Ni 0.339 0.848 0.848
9 Ni 0.500 0.000 0.500
10 Ni 0.500 0.194 0.806
11 Ni 0.500 0.500 0.000
12 Ni 0.500 0.806 0.194
13 Ni 0.661 0.152 0.152
14 Ni 0.806 0.194 0.500
15 Ni 0.806 0.500 0.194
16 Ni 0.848 0.339 0.848
17 Ni 0.848 0.848 0.339
18 Sn 0.389 0.389 0.389
19 Sn 0.611 0.611 0.611

Calculated values
* VASP energy: -107.59 eV per formula unit

8.
This record from the Alexandria database describes crystalline DyNi4Sn4 at its relaxed geometry. The functional is PBE.

abc: 8.423 8.423 5.124
angles: 90.00 90.00 90.00
Element x y z (fractional)
1 Dy 0.250 0.250 0.250
2 Dy 0.750 0.750 0.750
3 Ni 0.052 0.603 0.652
4 Ni 0.103 0.948 0.152
5 Ni 0.397 0.552 0.152
6 Ni 0.448 0.897 0.652
7 Ni 0.552 0.103 0.348
8 Ni 0.603 0.448 0.848
9 Ni 0.897 0.052 0.848
10 Ni 0.948 0.397 0.348
11 Sn 0.095 0.636 0.154
12 Sn 0.136 0.905 0.654
13 Sn 0.364 0.595 0.654
14 Sn 0.405 0.864 0.154
15 Sn 0.595 0.136 0.846
16 Sn 0.636 0.405 0.346
17 Sn 0.864 0.095 0.346
18 Sn 0.905 0.364 0.846

Calculated values
* VASP energy: -45.34 eV per formula unit

9.
This record from the Alexandria database describes crystalline Dy2Ni4Sn3 at its relaxed geometry. The functional is PBE.

abc: 8.534 8.534 6.949
angles: 90.00 90.00 139.24
Element x y z (fractional)
1 Dy 0.102 0.898 0.913
2 Dy 0.398 0.602 0.413
3 Dy 0.602 0.398 0.587
4 Dy 0.898 0.102 0.087
5 Ni 0.163 0.837 0.510
6 Ni 0.176 0.324 0.750
7 Ni 0.324 0.176 0.250
8 Ni 0.337 0.663 0.010
9 Ni 0.663 0.337 0.990
10 Ni 0.676 0.824 0.750
11 Ni 0.824 0.676 0.250
12 Ni 0.837 0.163 0.490
13 Sn 0.000 0.000 0.500
14 Sn 0.011 0.489 0.750
15 Sn 0.489 0.011 0.250
16 Sn 0.500 0.500 0.000
17 Sn 0.511 0.989 0.750
18 Sn 0.989 0.511 0.250

Calculated values
* VASP energy: -48.49 eV per formula unit

10.
This record from the Alexandria database describes crystalline Dy12Ni6Sn at its relaxed geometry. The functional is PBE.

abc: 8.406 8.406 8.406
angles: 109.47 109.47 109.47
Element x y z (fractional)
1 Dy 0.117 0.304 0.813
2 Dy 0.187 0.491 0.304
3 Dy 0.187 0.883 0.696
4 Dy 0.304 0.187 0.491
5 Dy 0.304 0.813 0.117
6 Dy 0.491 0.304 0.187
7 Dy 0.509 0.696 0.813
8 Dy 0.696 0.187 0.883
9 Dy 0.696 0.813 0.509
10 Dy 0.813 0.117 0.304
11 Dy 0.813 0.509 0.696
12 Dy 0.883 0.696 0.187
13 Ni 0.123 0.500 0.623
14 Ni 0.377 0.877 0.500
15 Ni 0.500 0.377 0.877
16 Ni 0.500 0.623 0.123
17 Ni 0.623 0.123 0.500
18 Ni 0.877 0.500 0.377
19 Sn 0.000 0.000 0.000

Calculated values
* VASP energy: -101.57 eV per formula unit